[1]
Below is Ba2SiTe at its PBEsol-relaxed geometry, with properties calculated at the SCAN level.

a = 5.7861 Å, b = 5.7861 Å, c = 5.7861 Å
α = 60.00°, β = 60.00°, γ = 60.00°
With the nearest neighbours (Å) after each atom.
Fractional coordinates of all 4 atoms:
Te 0.5000 0.5000 0.5000  8 Ba 3.54
Ba 0.7500 0.7500 0.7500  4 Te 3.54, 4 Si 3.54
Ba 0.2500 0.2500 0.2500  4 Te 3.54, 4 Si 3.54
Si 0.0000 0.0000 0.0000  8 Ba 3.54

spin magnetization = 1.937 μB/cell
energy = -32.321 eV per atom
energy relative to the lowest polymorph listed for this composition = 44.0 kJ/mol of formula units
space group = Fm-3m


[2]
Below is Ba2TlSi at its PBEsol-relaxed geometry, with properties calculated at the SCAN level.

a = 4.9163 Å, b = 4.9163 Å, c = 6.3138 Å
α = 112.91°, β = 112.91°, γ = 90.00°
With the nearest neighbours (Å) after each atom.
Fractional coordinates of all 4 atoms:
Ba 0.7500 0.2500 0.5000  4 Tl 3.48, 4 Ba 3.60, 4 Si 3.60
Ba 0.0000 0.0000 0.0000  4 Si 3.48, 4 Tl 3.60, 4 Ba 3.60
Tl 0.2500 0.7500 0.5000  8 Ba 3.48-3.60, 4 Si 3.60
Si 0.5000 0.5000 0.0000  8 Ba 3.48-3.60, 4 Tl 3.60

spin magnetization = 0.000 μB/cell
energy = -40.505 eV per atom
space group = I-4m2


[3]
Below is BaTlSi2 at its PBEsol-relaxed geometry, with properties calculated at the SCAN level.

a = 4.7027 Å, b = 4.7027 Å, c = 6.2389 Å
α = 67.86°, β = 67.86°, γ = 60.00°
With the nearest neighbours (Å) after each atom.
Fractional coordinates of all 4 atoms:
Tl 0.5000 0.5000 0.5000  6 Si 2.80
Si 0.2061 0.2061 0.3818  3 Tl 2.80, 3 Si 3.02
Si 0.7939 0.7939 0.6182  3 Tl 2.80, 3 Si 3.02
Ba 0.0000 0.0000 0.0000  8 Si 3.46-3.47

spin magnetization = 0.000 μB/cell
energy = -32.869 eV per atom
energy relative to the lowest polymorph listed for this composition = 98.9 kJ/mol of formula units
space group = R-3m


Let's list theoretical density in order: 5.217; 6.610; 6.141 g/cm³.
Let's list E_form (uncorrected) in order: -281; -53; 45 kJ/mol of formula units.